[1]
Cs3TeF: relaxed, PBE.

```
data_Cs3TeF
_cell_length_a 8.359
_cell_length_b 5.942
_cell_length_c 8.358
_cell_angle_alpha 90.00
_cell_angle_beta 89.98
_cell_angle_gamma 90.01
_symmetry_space_group_name_H-M 'P 1'
_symmetry_Int_Tables_number 1
_symmetry_space_group_name_Hall 'P 1'
loop_
_atom_site_label
_atom_site_fract_x
_atom_site_fract_y
_atom_site_fract_z
Cs1 0.065 0.340 0.965
Cs2 0.837 0.840 0.693
Cs3 0.293 0.840 0.237
Cs4 0.337 0.839 0.737
Cs5 0.565 0.340 0.465
Cs6 0.793 0.839 0.193
Te1 0.065 0.340 0.465
Te2 0.565 0.340 0.965
F1 0.065 0.840 0.965
F2 0.565 0.840 0.465
```

- total moment (μB per formula unit) = 0.00
- crystal system = tetragonal
- E_form (uncorrected) (eV/atom) = -1.683
- E (eV for the cell shown) = -31.98
- space-group type = P4/mbm (127)
- offset from the most stable computed form (eV per atom) = 0.001
- density (g/cm³) = 4.36



[2]
Pr8Sm2Sn: relaxed, PBE.

```
data_Pr8Sm2Sn
_cell_length_a 5.051
_cell_length_b 8.204
_cell_length_c 9.699
_cell_angle_alpha 104.59
_cell_angle_beta 105.09
_cell_angle_gamma 90.00
_symmetry_space_group_name_H-M 'P 1'
_symmetry_Int_Tables_number 1
_symmetry_space_group_name_Hall 'P 1'
loop_
_atom_site_label
_atom_site_fract_x
_atom_site_fract_y
_atom_site_fract_z
Sn1 0.500 0.000 0.000
Sm1 0.224 0.634 0.449
Sm2 0.776 0.366 0.551
Pr1 0.324 0.092 0.648
Pr2 0.590 0.439 0.179
Pr3 0.863 0.822 0.726
Pr4 0.676 0.908 0.352
Pr5 0.958 0.265 0.915
Pr6 0.042 0.735 0.085
Pr7 0.137 0.178 0.274
Pr8 0.410 0.561 0.821
```

- total moment (μB per formula unit) = 0.00
- crystal system = monoclinic
- E (eV for the cell shown) = -52.96
- space-group type = C2/m (12)
- energy relative to the elements (kJ/mol of atoms) = -11.3
- density (g/cm³) = 6.86



[3]
Pm6Ho3Tm2Th: relaxed, PBE.

```
data_Pm6Ho3Tm2Th
_cell_length_a 6.215
_cell_length_b 6.215
_cell_length_c 11.877
_cell_angle_alpha 95.02
_cell_angle_beta 95.02
_cell_angle_gamma 119.97
_symmetry_space_group_name_H-M 'P 1'
_symmetry_Int_Tables_number 1
_symmetry_space_group_name_Hall 'P 1'
loop_
_atom_site_label
_atom_site_fract_x
_atom_site_fract_y
_atom_site_fract_z
Tm1 0.667 0.333 0.000
Tm2 0.333 0.667 0.000
Ho1 0.500 0.500 0.500
Ho2 0.167 0.833 0.500
Ho3 0.833 0.167 0.500
Pm1 0.587 0.917 0.751
Pm2 0.083 0.413 0.249
Pm3 0.413 0.083 0.249
Pm4 0.917 0.587 0.751
Pm5 0.753 0.753 0.249
Pm6 0.247 0.247 0.751
Th1 0.000 0.000 0.000
```

- total moment (μB per formula unit) = 0.00
- crystal system = monoclinic
- E (eV for the cell shown) = -58.22
- space-group type = C2/m (12)
- energy relative to the elements (kJ/mol of atoms) = 3.0
- density (g/cm³) = 8.21



[4]
TbTe2Pd: relaxed, PBE.

```
data_TbTe2Pd
_cell_length_a 3.948
_cell_length_b 3.948
_cell_length_c 9.324
_cell_angle_alpha 77.78
_cell_angle_beta 77.78
_cell_angle_gamma 60.00
_symmetry_space_group_name_H-M 'P 1'
_symmetry_Int_Tables_number 1
_symmetry_space_group_name_Hall 'P 1'
loop_
_atom_site_label
_atom_site_fract_x
_atom_site_fract_y
_atom_site_fract_z
Tb1 0.000 0.000 0.000
Pd1 0.500 0.500 0.500
Te1 0.888 0.888 0.335
Te2 0.112 0.112 0.665
```

- total moment (μB per formula unit) = 0.00
- crystal system = trigonal
- E_form (uncorrected) (eV/atom) = -0.249
- E (eV for the cell shown) = -17.10
- space-group type = R-3m (166)
- offset from the most stable computed form (eV per atom) = 0.509
- density (g/cm³) = 7.08



[5]
Bi3S4: relaxed, PBE.

```
data_Bi3S4
_cell_length_a 4.031
_cell_length_b 7.263
_cell_length_c 7.775
_cell_angle_alpha 112.81
_cell_angle_beta 105.02
_cell_angle_gamma 90.00
_symmetry_space_group_name_H-M 'P 1'
_symmetry_Int_Tables_number 1
_symmetry_space_group_name_Hall 'P 1'
loop_
_atom_site_label
_atom_site_fract_x
_atom_site_fract_y
_atom_site_fract_z
S1 0.631 0.993 0.263
S2 0.869 0.550 0.738
S3 0.131 0.450 0.262
S4 0.369 0.007 0.737
Bi1 0.000 0.000 0.000
Bi2 0.730 0.717 0.460
Bi3 0.270 0.283 0.540
```

- total moment (μB per formula unit) = 0.00
- crystal system = monoclinic
- E_form (uncorrected) (eV/atom) = -0.254
- E (eV for the cell shown) = -29.93
- space-group type = C2/m (12)
- density (g/cm³) = 6.23



[6]
Pr4Dy2Pb3N2: relaxed, PBE.

```
data_Pr4Dy2Pb3N2
_cell_length_a 4.919
_cell_length_b 4.919
_cell_length_c 13.412
_cell_angle_alpha 100.57
_cell_angle_beta 100.57
_cell_angle_gamma 90.00
_symmetry_space_group_name_H-M 'P 1'
_symmetry_Int_Tables_number 1
_symmetry_space_group_name_Hall 'P 1'
loop_
_atom_site_label
_atom_site_fract_x
_atom_site_fract_y
_atom_site_fract_z
N1 0.392 0.392 0.784
N2 0.608 0.608 0.216
Pb1 0.000 0.000 0.000
Pb2 0.819 0.819 0.638
Pb3 0.181 0.181 0.362
Pr1 0.086 0.586 0.173
Pr2 0.586 0.086 0.173
Pr3 0.914 0.414 0.827
Pr4 0.414 0.914 0.827
Dy1 0.307 0.307 0.614
Dy2 0.693 0.693 0.386
```

- total moment (μB per formula unit) = 0.00
- crystal system = tetragonal
- E_form (uncorrected) (eV/atom) = -0.804
- E (eV for the cell shown) = -64.94
- space-group type = I4/mmm (139)
- density (g/cm³) = 8.15



[7]
Li2YAlF8: relaxed, PBE.

```
data_Li2YAlF8
_cell_length_a 4.695
_cell_length_b 4.701
_cell_length_c 6.467
_cell_angle_alpha 90.00
_cell_angle_beta 90.00
_cell_angle_gamma 88.94
_symmetry_space_group_name_H-M 'P 1'
_symmetry_Int_Tables_number 1
_symmetry_space_group_name_Hall 'P 1'
loop_
_atom_site_label
_atom_site_fract_x
_atom_site_fract_y
_atom_site_fract_z
F1 0.731 0.732 0.000
F2 0.809 0.192 0.787
F3 0.191 0.808 0.787
F4 0.319 0.316 0.500
F5 0.809 0.192 0.213
F6 0.269 0.268 0.000
F7 0.681 0.684 0.500
F8 0.191 0.808 0.213
Li1 0.500 0.500 0.775
Li2 0.500 0.500 0.225
Y1 0.000 0.000 0.500
Al1 0.000 0.000 0.000
```

- total moment (μB per formula unit) = 0.08
- crystal system = monoclinic
- E_form (uncorrected) (eV/atom) = -3.482
- E (eV for the cell shown) = -70.79
- space-group type = P2/m (10)
- density (g/cm³) = 3.28



[8]
Pm3ErRh8: relaxed, PBE.

```
data_Pm3ErRh8
_cell_length_a 5.379
_cell_length_b 5.379
_cell_length_c 9.320
_cell_angle_alpha 73.23
_cell_angle_beta 73.23
_cell_angle_gamma 60.00
_symmetry_space_group_name_H-M 'P 1'
_symmetry_Int_Tables_number 1
_symmetry_space_group_name_Hall 'P 1'
loop_
_atom_site_label
_atom_site_fract_x
_atom_site_fract_y
_atom_site_fract_z
Rh1 0.188 0.188 0.437
Rh2 0.938 0.938 0.685
Rh3 0.437 0.437 0.190
Rh4 0.439 0.938 0.685
Rh5 0.936 0.437 0.190
Rh6 0.687 0.687 0.938
Rh7 0.437 0.936 0.190
Rh8 0.938 0.439 0.685
Pm1 0.375 0.375 0.875
Pm2 0.000 0.000 0.001
Pm3 0.501 0.501 0.498
Er1 0.875 0.875 0.376
```

- total moment (μB per formula unit) = 0.00
- crystal system = trigonal
- E (eV for the cell shown) = -86.01
- space-group type = R3m (160)
- energy relative to the elements (kJ/mol of atoms) = -67.4
- density (g/cm³) = 10.75



[9]
Sb2TePb: relaxed, PBE.

```
data_Sb2TePb
_cell_length_a 8.316
_cell_length_b 8.316
_cell_length_c 8.316
_cell_angle_alpha 31.09
_cell_angle_beta 31.09
_cell_angle_gamma 31.09
_symmetry_space_group_name_H-M 'P 1'
_symmetry_Int_Tables_number 1
_symmetry_space_group_name_Hall 'P 1'
loop_
_atom_site_label
_atom_site_fract_x
_atom_site_fract_y
_atom_site_fract_z
Te1 0.505 0.505 0.505
Sb1 0.011 0.011 0.011
Sb2 0.741 0.741 0.741
Pb1 0.243 0.243 0.243
```

- total moment (μB per formula unit) = 0.00
- crystal system = trigonal
- E_form (uncorrected) (eV/atom) = -0.142
- E (eV for the cell shown) = -15.66
- space-group type = R3m (160)
- offset from the most stable computed form (eV per atom) = 0.000
- density (g/cm³) = 7.06



[10]
ErGa4Ag: relaxed, PBE.

```
data_ErGa4Ag
_cell_length_a 4.735
_cell_length_b 5.233
_cell_length_c 10.052
_cell_angle_alpha 105.47
_cell_angle_beta 104.03
_cell_angle_gamma 88.15
_symmetry_space_group_name_H-M 'P 1'
_symmetry_Int_Tables_number 1
_symmetry_space_group_name_Hall 'P 1'
loop_
_atom_site_label
_atom_site_fract_x
_atom_site_fract_y
_atom_site_fract_z
Ga1 0.152 0.651 0.802
Ga2 0.348 0.849 0.198
Ga3 0.422 0.422 0.343
Ga4 0.848 0.349 0.198
Ga5 0.078 0.078 0.657
Ga6 0.652 0.151 0.802
Ga7 0.922 0.922 0.343
Ga8 0.578 0.578 0.657
Ag1 0.000 0.500 0.500
Ag2 0.500 0.000 0.500
Er1 0.250 0.250 0.000
Er2 0.750 0.750 0.000
```

- total moment (μB per formula unit) = 0.00
- crystal system = triclinic
- E (eV for the cell shown) = -41.50
- space-group type = P-1 (2)
- offset from the most stable computed form (eV per atom) = 0.000
- energy relative to the elements (kJ/mol of atoms) = -19.7
- density (g/cm³) = 7.91



[11]
TaPd5Pt: relaxed, PBE.

```
data_TaPd5Pt
_cell_length_a 5.502
_cell_length_b 5.502
_cell_length_c 9.327
_cell_angle_alpha 82.97
_cell_angle_beta 82.97
_cell_angle_gamma 56.79
_symmetry_space_group_name_H-M 'P 1'
_symmetry_Int_Tables_number 1
_symmetry_space_group_name_Hall 'P 1'
loop_
_atom_site_label
_atom_site_fract_x
_atom_site_fract_y
_atom_site_fract_z
Pd1 0.333 0.386 0.522
Pd2 0.256 0.744 0.750
Pd3 0.744 0.256 0.250
Pd4 0.386 0.333 0.022
Pd5 0.719 0.831 0.703
Pd6 0.281 0.169 0.297
Pd7 0.169 0.281 0.797
Pd8 0.614 0.667 0.978
Pd9 0.831 0.719 0.203
Pd10 0.667 0.614 0.478
Pt1 0.000 0.000 0.500
Pt2 0.000 0.000 0.000
Ta1 0.273 0.727 0.250
Ta2 0.727 0.273 0.750
```

- total moment (μB per formula unit) = 0.00
- crystal system = monoclinic
- E (eV for the cell shown) = -89.35
- space-group type = C2/c (15)
- energy relative to the elements (kJ/mol of atoms) = -11.2
- density (g/cm³) = 12.89



[12]
HfMnAlV: relaxed, PBE.

```
data_HfMnAlV
_cell_length_a 4.443
_cell_length_b 4.443
_cell_length_c 4.443
_cell_angle_alpha 60.00
_cell_angle_beta 60.00
_cell_angle_gamma 60.00
_symmetry_space_group_name_H-M 'P 1'
_symmetry_Int_Tables_number 1
_symmetry_space_group_name_Hall 'P 1'
loop_
_atom_site_label
_atom_site_fract_x
_atom_site_fract_y
_atom_site_fract_z
Mn1 0.500 0.500 0.500
Al1 0.250 0.250 0.250
V1 0.000 0.000 0.000
Hf1 0.750 0.750 0.750
```

- total moment (μB per formula unit) = 1.00
- crystal system = cubic
- E (eV for the cell shown) = -32.47
- space-group type = F-43m (216)
- energy relative to the elements (kJ/mol of atoms) = -11.7
- density (g/cm³) = 8.34